1.
A relaxed Sc3SiC crystal, computed with PBE.

crystal system	hexagonal
space-group type	P6_3/mmc, No. 194

Structure (CIF):
```
data_Sc3SiC
_cell_length_a 4.169
_cell_length_b 4.169
_cell_length_c 14.021
_cell_angle_alpha 90.00
_cell_angle_beta 90.00
_cell_angle_gamma 120.00
_space_group_name_H-M_alt 'P 1'
_space_group_IT_number 1
loop_
_space_group_symop_operation_xyz
'x,y,z'
loop_
_atom_site_label
_atom_site_fract_x
_atom_site_fract_y
_atom_site_fract_z
C1 0.000 0.000 0.500
Sc1 0.333 0.667 0.565
Si1 0.667 0.333 0.250
Sc2 0.000 0.000 0.750
Sc3 0.000 0.000 0.250
C2 0.000 0.000 0.000
Sc4 0.333 0.667 0.935
Si2 0.333 0.667 0.750
Sc5 0.667 0.333 0.435
Sc6 0.667 0.333 0.065
```

***

2.
A relaxed Sc3SiC crystal, computed with PBE.

crystal system	hexagonal
space-group type	P6_3/mmc, No. 194

Structure (CIF):
```
data_Sc3SiC
_cell_length_a 4.119
_cell_length_b 4.119
_cell_length_c 13.672
_cell_angle_alpha 90.00
_cell_angle_beta 90.00
_cell_angle_gamma 120.00
_space_group_name_H-M_alt 'P 1'
_space_group_IT_number 1
loop_
_space_group_symop_operation_xyz
'x,y,z'
loop_
_atom_site_label
_atom_site_fract_x
_atom_site_fract_y
_atom_site_fract_z
C1 0.667 0.333 0.250
Sc1 0.333 0.667 0.911
Sc2 0.667 0.333 0.411
Si1 0.000 0.000 0.500
Sc3 0.667 0.333 0.089
Si2 0.000 0.000 0.000
Sc4 0.000 0.000 0.750
C2 0.333 0.667 0.750
Sc5 0.333 0.667 0.589
Sc6 0.000 0.000 0.250
```

***

3.
A relaxed Sc7Si2C2 crystal, computed with PBE.

crystal system	orthorhombic
space-group type	Imm2, No. 44

Structure (CIF):
```
data_Sc7Si2C2
_cell_length_a 3.317
_cell_length_b 8.025
_cell_length_c 8.025
_cell_angle_alpha 70.18
_cell_angle_beta 78.07
_cell_angle_gamma 78.07
_space_group_name_H-M_alt 'P 1'
_space_group_IT_number 1
loop_
_space_group_symop_operation_xyz
'x,y,z'
loop_
_atom_site_label
_atom_site_fract_x
_atom_site_fract_y
_atom_site_fract_z
Sc1 0.143 0.083 0.632
Sc2 0.196 0.714 0.893
C1 0.272 0.321 0.136
C2 0.728 0.864 0.679
Sc3 0.857 0.368 0.917
Si1 0.000 0.779 0.221
Sc4 0.500 0.018 0.982
Sc5 0.804 0.107 0.286
Sc6 0.634 0.482 0.250
Si2 0.500 0.368 0.632
Sc7 0.366 0.750 0.518
```

***

4.
A relaxed Sc3SiC crystal, computed with PBE.

crystal system	tetragonal
space-group type	I-4m2, No. 119

Structure (CIF):
```
data_Sc3SiC
_cell_length_a 4.798
_cell_length_b 4.798
_cell_length_c 10.494
_cell_angle_alpha 76.78
_cell_angle_beta 76.78
_cell_angle_gamma 90.00
_space_group_name_H-M_alt 'P 1'
_space_group_IT_number 1
loop_
_space_group_symop_operation_xyz
'x,y,z'
loop_
_atom_site_label
_atom_site_fract_x
_atom_site_fract_y
_atom_site_fract_z
Sc1 0.126 0.360 0.748
Sc2 0.108 0.874 0.252
C1 0.847 0.347 0.306
Si1 0.250 0.750 0.500
Sc3 0.126 0.892 0.748
Si2 0.000 0.000 0.000
Sc4 0.640 0.874 0.252
C2 0.653 0.153 0.694
Sc5 0.702 0.702 0.597
Sc6 0.298 0.298 0.403
```

***

5.
A relaxed Sc2SiC crystal, computed with PBE.

crystal system	trigonal
space-group type	R-3m, No. 166

Structure (CIF):
```
data_Sc2SiC
_cell_length_a 8.147
_cell_length_b 8.147
_cell_length_c 8.147
_cell_angle_alpha 23.49
_cell_angle_beta 23.49
_cell_angle_gamma 23.49
_space_group_name_H-M_alt 'P 1'
_space_group_IT_number 1
loop_
_space_group_symop_operation_xyz
'x,y,z'
loop_
_atom_site_label
_atom_site_fract_x
_atom_site_fract_y
_atom_site_fract_z
Sc1 0.884 0.884 0.884
Si1 0.000 0.000 0.000
Sc2 0.116 0.116 0.116
C1 0.500 0.500 0.500
```

***

6.
A relaxed Sc3SiC crystal, computed with PBE.

crystal system	monoclinic
space-group type	C2/m, No. 12

Structure (CIF):
```
data_Sc3SiC
_cell_length_a 3.557
_cell_length_b 6.718
_cell_length_c 7.661
_cell_angle_alpha 85.29
_cell_angle_beta 90.00
_cell_angle_gamma 74.65
_space_group_name_H-M_alt 'P 1'
_space_group_IT_number 1
loop_
_space_group_symop_operation_xyz
'x,y,z'
loop_
_atom_site_label
_atom_site_fract_x
_atom_site_fract_y
_atom_site_fract_z
Sc1 0.993 0.370 0.030
C1 0.238 0.879 0.460
Sc2 0.688 0.979 0.275
Sc3 0.090 0.176 0.584
Sc4 0.284 0.788 0.980
C2 0.845 0.667 0.153
Sc5 0.394 0.567 0.339
Si1 0.455 0.446 0.742
Sc6 0.799 0.758 0.633
Si2 0.628 0.100 0.872
```

***

Asked for energy relative to the elements, uncorrected across the records above, the calculation gives 0.170, -0.372, -0.375, 0.821, -0.129, -0.555 eV/atom in order.